## YMoIr2 (PBE)

Data for YMoIr2 after structural relaxation. Values from VASP.

Total energy: -8.953 eV per atom
Crystal system: orthorhombic

Geometry as Quantum ESPRESSO input:
```
&SYSTEM
  ibrav = 0, nat = 4, ntyp = 3
/
ATOMIC_SPECIES
Ir 192.22 Ir.upf
Mo 95.94 Mo.upf
Y 88.91 Y.upf
CELL_PARAMETERS angstrom
-3.860 -4.089 3.670
2.156 -1.345 -4.161
1.397 -2.204 1.438
ATOMIC_POSITIONS crystal
Ir 0.500 0.000 0.500
Ir 0.000 0.000 0.000
Mo 0.000 0.500 0.500
Y 0.500 0.500 0.000
```

***

## YMo2Ir2 (PBE)

Data for YMo2Ir2 after structural relaxation. Values from VASP.

Total energy: -9.402 eV per atom
Crystal system: tetragonal

Geometry as Quantum ESPRESSO input:
```
&SYSTEM
  ibrav = 0, nat = 5, ntyp = 3
/
ATOMIC_SPECIES
Mo 95.94 Mo.upf
Y 88.91 Y.upf
Ir 192.22 Ir.upf
CELL_PARAMETERS angstrom
4.167 0.000 0.000
0.000 4.167 0.000
2.084 2.084 5.536
ATOMIC_POSITIONS crystal
Mo 0.750 0.250 0.500
Mo 0.250 0.750 0.500
Y 0.000 0.000 0.000
Ir 0.612 0.612 0.776
Ir 0.388 0.388 0.224
```

***

## Y2Mo2Ir (PBE)

Data for Y2Mo2Ir after structural relaxation. Values from VASP.

Total energy: -8.878 eV per atom
Crystal system: orthorhombic

Geometry as Quantum ESPRESSO input:
```
&SYSTEM
  ibrav = 0, nat = 10, ntyp = 3
/
ATOMIC_SPECIES
Mo 95.94 Mo.upf
Ir 192.22 Ir.upf
Y 88.91 Y.upf
CELL_PARAMETERS angstrom
-3.725 1.249 1.055
-3.211 -8.656 -1.088
1.169 -1.119 5.454
ATOMIC_POSITIONS crystal
Mo 0.000 0.500 0.308
Mo 0.000 0.000 0.542
Mo 0.500 0.000 0.808
Mo 0.500 0.500 0.042
Ir 0.500 0.500 0.587
Ir 0.000 0.000 0.087
Y 0.500 0.795 0.316
Y 0.000 0.295 0.816
Y 0.000 0.705 0.816
Y 0.500 0.205 0.316
```

***

## YMo2Ir2 (PBE)

Data for YMo2Ir2 after structural relaxation. Values from VASP.

Total energy: -9.302 eV per atom
Crystal system: tetragonal

Geometry as Quantum ESPRESSO input:
```
&SYSTEM
  ibrav = 0, nat = 10, ntyp = 3
/
ATOMIC_SPECIES
Mo 95.94 Mo.upf
Ir 192.22 Ir.upf
Y 88.91 Y.upf
CELL_PARAMETERS angstrom
7.824 0.000 0.000
0.000 7.824 0.000
0.000 0.000 2.846
ATOMIC_POSITIONS crystal
Mo 0.668 0.832 0.500
Mo 0.832 0.332 0.500
Mo 0.332 0.168 0.500
Mo 0.168 0.668 0.500
Ir 0.125 0.375 0.000
Ir 0.375 0.875 0.000
Ir 0.625 0.125 0.000
Ir 0.875 0.625 0.000
Y 0.000 0.000 0.000
Y 0.500 0.500 0.000
```

***

Calculated values (meV per atom) of formation energy for the records, taken in order: -198 -233 -188 -132.